P.
Entry from Alexandria via LeMat-Bulk: Zr2CoNi after structural relaxation (PBE).

Properties
As for the density of states at the Fermi level: 3.98 states/eV/f.u. Its volume is 16.448 A^3/atom.

Cell: 4.5314 4.5314 4.5314 Å, 60.00 60.00 60.00°
Last column: nearest neighbours and their distance in Å.
Sites, in units of the cell vectors:
1 Ni 0.5000 0.5000 0.5000  8 Zr 2.77
2 Co 0.0000 0.0000 0.0000  8 Zr 2.77
3 Zr 0.2500 0.2500 0.2500  4 Ni 2.77, 4 Co 2.77
4 Zr 0.7500 0.7500 0.7500  4 Ni 2.77, 4 Co 2.77

=====

Q.
Entry from Alexandria via LeMat-Bulk: Zr2CoNi after structural relaxation (PBE).

Properties
As for the density of states at the Fermi level: 3.56 states/eV/f.u. Its volume is 16.624 A^3/atom.

Cell: 4.0672 5.2334 6.5857 Å, 108.43 90.00 90.00°
Last column: nearest neighbours and their distance in Å.
Sites, in units of the cell vectors:
1 Ni 0.7500 0.6672 0.7937  2 Co 2.64, 7 Zr 2.68-2.77
2 Ni 0.2500 0.3328 0.2063  2 Co 2.64, 7 Zr 2.68-2.77
3 Co 0.7500 0.6722 0.2907  2 Ni 2.64, 7 Zr 2.65-2.81
4 Co 0.2500 0.3278 0.7093  2 Ni 2.64, 7 Zr 2.65-2.81
5 Zr 0.7500 0.2182 0.4324  4 Co 2.67-2.81, 3 Ni 2.70-2.77
6 Zr 0.7500 0.2206 0.9271  3 Co 2.65-2.78, 4 Ni 2.68-2.75
7 Zr 0.2500 0.7818 0.5676  4 Co 2.67-2.81, 3 Ni 2.70-2.77
8 Zr 0.2500 0.7794 0.0729  3 Co 2.65-2.78, 4 Ni 2.68-2.75

=====

Which one sits at the top of the stability order? Q does.

=====

P.
Entry from Alexandria via LeMat-Bulk: ZrCo3Ni after structural relaxation (PBE).

Properties
As for the density of states at the Fermi level: 12.53 states/eV/f.u. Its volume is 18.057 A^3/atom.

Cell: 4.4862 4.4862 4.4862 Å, 90.00 90.00 90.00°
Last column: nearest neighbours and their distance in Å.
Sites, in units of the cell vectors:
1 Zr 0.0000 0.0000 0.0000  6 Co 2.24
2 Co 0.0000 0.5000 0.0000  2 Zr 2.24
3 Co 0.5000 0.0000 0.0000  2 Zr 2.24
4 Co 0.0000 0.0000 0.5000  2 Zr 2.24
5 Ni 0.5000 0.5000 0.5000  12 Co 3.17

=====

Q.
Entry from Alexandria via LeMat-Bulk: ZrCo3Ni after structural relaxation (PBE).

Properties
As for the density of states at the Fermi level: 8.67 states/eV/f.u. Its volume is 15.499 A^3/atom.

Cell: 4.2634 4.2634 4.2634 Å, 90.00 90.00 90.00°
Last column: nearest neighbours and their distance in Å.
Sites, in units of the cell vectors:
1 Co 0.5000 0.0000 0.0000  2 Ni 2.13
2 Co 0.0000 0.0000 0.5000  2 Ni 2.13
3 Co 0.0000 0.5000 0.0000  2 Ni 2.13
4 Zr 0.5000 0.5000 0.5000  12 Co 3.01
5 Ni 0.0000 0.0000 0.0000  6 Co 2.13

=====

Which one sits at the top of the stability order? Q does.

=====

P.
Entry from Alexandria via LeMat-Bulk: NpCoOs after structural relaxation (PBE).

Properties
As for the density of states at the Fermi level: 6.96 states/eV/f.u. Its volume is 15.974 A^3/atom.

Cell: 4.8191 5.1640 5.1640 Å, 63.01 62.19 62.19°
Last column: nearest neighbours and their distance in Å.
Sites, in units of the cell vectors:
1 Co 0.0000 0.0000 0.0000  2 Co 2.41, 4 Os 2.58
2 Co 0.5000 0.0000 0.0000  2 Co 2.41, 4 Os 2.58
3 Os 0.5000 0.5000 0.0000  4 Co 2.58, 2 Os 2.70
4 Os 0.5000 0.0000 0.5000  4 Co 2.58, 2 Os 2.70
5 Np 0.1307 0.6193 0.6193  6 Os 2.92-3.04, 2 Np 2.98, 6 Co 3.05-3.08
6 Np 0.8693 0.3807 0.3807  6 Os 2.92-3.04, 2 Np 2.98, 6 Co 3.05-3.08

=====

Q.
Entry from Alexandria via LeMat-Bulk: NpCoOs after structural relaxation (PBE).

Properties
As for the density of states at the Fermi level: 6.13 states/eV/f.u. Its volume is 16.239 A^3/atom.

Cell: 3.7310 3.7310 8.3641 Å, 77.11 77.11 60.00°
Last column: nearest neighbours and their distance in Å.
Sites, in units of the cell vectors:
1 Os 0.3596 0.3596 0.9211  4 Co 2.48-2.50, 3 Os 2.50
2 Os 0.6404 0.6404 0.0789  4 Co 2.48-2.50, 3 Os 2.50
3 Co 0.7435 0.7435 0.7696  4 Os 2.48-2.50, 3 Np 2.63
4 Co 0.2565 0.2565 0.2304  4 Os 2.48-2.50, 3 Np 2.63
5 Np 0.1388 0.1388 0.5836  3 Np 2.54, 3 Co 2.63
6 Np 0.8612 0.8612 0.4164  3 Np 2.54, 3 Co 2.63

=====

Which one sits at the top of the stability order? P does.

=====

P.
Entry from Alexandria via LeMat-Bulk: Np2Co2P3 after structural relaxation (PBE).

Properties
As for the density of states at the Fermi level: 16.74 states/eV/f.u. Its volume is 17.676 A^3/atom.

Cell: 3.8006 6.2824 5.6765 Å, 103.50 109.56 90.00°
Last column: nearest neighbours and their distance in Å.
Sites, in units of the cell vectors:
1 P 0.2995 0.7543 0.5990  3 Co 2.19-2.26
2 P 0.7005 0.2457 0.4010  3 Co 2.19-2.26
3 P 0.0000 0.5000 0.0000  2 Co 2.12
4 Np 0.5981 0.8026 0.1962  5 P 2.71-2.94, 1 Co 3.00
5 Np 0.4019 0.1974 0.8038  5 P 2.71-2.94, 1 Co 3.00
6 Co 0.1771 0.4044 0.3541  4 P 2.12-2.26
7 Co 0.8229 0.5956 0.6459  4 P 2.12-2.26

=====

Q.
Entry from Alexandria via LeMat-Bulk: Np2Co2P3 after structural relaxation (PBE).

Properties
As for the density of states at the Fermi level: 14.24 states/eV/f.u. Its volume is 15.302 A^3/atom.

Cell: 3.9076 6.6267 8.5005 Å, 90.00 103.29 90.00°
Last column: nearest neighbours and their distance in Å.
Sites, in units of the cell vectors:
1 Co 0.7010 0.9461 0.4021  4 P 2.28-2.39
2 Co 0.2990 0.0539 0.5979  4 P 2.28-2.39
3 Co 0.7010 0.5539 0.4021  4 P 2.28-2.39
4 Co 0.2990 0.4461 0.5979  4 P 2.28-2.39
5 P 0.5683 0.4635 0.1365  1 Co 2.28, 1 P 2.31
6 P 0.7793 0.2500 0.5586  6 Co 2.37-2.39
7 P 0.2207 0.7500 0.4414  6 Co 2.37-2.39
8 P 0.4317 0.5365 0.8635  1 Co 2.28, 1 P 2.31
9 P 0.5683 0.0365 0.1365  1 Co 2.28, 1 P 2.31
10 P 0.4317 0.9635 0.8635  1 Co 2.28, 1 P 2.31
11 Np 0.9505 0.2500 0.9009  5 P 2.74-2.83
12 Np 0.0495 0.7500 0.0991  5 P 2.74-2.83
13 Np 0.1482 0.2500 0.2965  6 P 2.75-2.92, 6 Co 2.81-2.94
14 Np 0.8518 0.7500 0.7035  6 P 2.75-2.92, 6 Co 2.81-2.94

=====

Which one sits at the top of the stability order? Q does.

=====

P.
Entry from Alexandria via LeMat-Bulk: NpCoP2 after structural relaxation (PBE).

Properties
As for the density of states at the Fermi level: 6.29 states/eV/f.u. Its volume is 15.666 A^3/atom.

Cell: 3.6802 3.6802 9.6129 Å, 101.04 101.04 90.00°
Last column: nearest neighbours and their distance in Å.
Sites, in units of the cell vectors:
1 Np 0.8872 0.8872 0.7744  8 P 2.78-2.89
2 Np 0.1128 0.1128 0.2256  8 P 2.78-2.89
3 Co 0.2500 0.7500 0.5000  4 P 2.24
4 Co 0.7500 0.2500 0.5000  4 P 2.24
5 P 0.6806 0.6806 0.3612  4 Co 2.24
6 P 0.0000 0.5000 0.0000  4 P 2.60, 4 Np 2.78
7 P 0.5000 0.0000 0.0000  4 P 2.60, 4 Np 2.78
8 P 0.3194 0.3194 0.6388  4 Co 2.24

=====

Q.
Entry from Alexandria via LeMat-Bulk: NpCoP2 after structural relaxation (PBE).

Properties
As for the density of states at the Fermi level: 5.79 states/eV/f.u. Its volume is 15.557 A^3/atom.

Cell: 3.7184 3.7184 5.6228 Å, 70.69 70.69 60.00°
Last column: nearest neighbours and their distance in Å.
Sites, in units of the cell vectors:
1 Np 0.5000 0.5000 0.5000  6 P 2.73
2 P 0.7254 0.7254 0.8237  3 Co 2.33
3 P 0.2746 0.2746 0.1763  3 Co 2.33
4 Co 0.0000 0.0000 0.0000  6 P 2.33

=====

R.
Entry from Alexandria via LeMat-Bulk: NpCoP2 after structural relaxation (PBE).

Properties
As for the density of states at the Fermi level: 10.50 states/eV/f.u. Its volume is 16.183 A^3/atom.

Cell: 3.9010 6.8646 9.6692 Å, 90.00 90.00 90.00°
Last column: nearest neighbours and their distance in Å.
Sites, in units of the cell vectors:
1 P 0.7500 0.0871 0.8321  2 Co 2.22-2.23
2 P 0.2500 0.9129 0.1679  2 Co 2.22-2.23
3 P 0.7500 0.6225 0.0363  3 Co 2.21-2.25
4 P 0.7500 0.1225 0.4637  3 Co 2.21-2.25
5 P 0.2500 0.4129 0.3321  2 Co 2.22-2.23
6 P 0.2500 0.3775 0.9637  3 Co 2.21-2.25
7 P 0.7500 0.5871 0.6679  2 Co 2.22-2.23
8 P 0.2500 0.8775 0.5363  3 Co 2.21-2.25
9 Np 0.2500 0.7858 0.8571  9 P 2.84-3.16, 3 Co 2.98-3.05
10 Np 0.7500 0.2142 0.1429  9 P 2.84-3.16, 3 Co 2.98-3.05
11 Np 0.2500 0.2858 0.6429  9 P 2.84-3.16, 3 Co 2.98-3.05
12 Np 0.7500 0.7142 0.3571  9 P 2.84-3.16, 3 Co 2.98-3.05
13 Co 0.2500 0.5905 0.1406  5 P 2.21-2.25
14 Co 0.7500 0.4095 0.8594  5 P 2.21-2.25
15 Co 0.2500 0.0905 0.3594  5 P 2.21-2.25
16 Co 0.7500 0.9095 0.6406  5 P 2.21-2.25

=====

Which one sits at the top of the stability order? P does.

=====

P.
Entry from Alexandria via LeMat-Bulk: PmNpCo2 after structural relaxation (PBE).

Properties
As for the density of states at the Fermi level: 7.73 states/eV/f.u. Its volume is 18.694 A^3/atom.

Cell: 3.2714 3.2714 6.9870 Å, 90.00 90.00 90.00°
Last column: nearest neighbours and their distance in Å.
Sites, in units of the cell vectors:
1 Np 0.5000 0.5000 0.0000  8 Co 2.69
2 Co 0.0000 0.0000 0.8022  4 Np 2.69, 1 Co 2.76
3 Co 0.0000 0.0000 0.1978  4 Np 2.69, 1 Co 2.76
4 Pm 0.5000 0.5000 0.5000  8 Co 3.13, 4 Pm 3.27, 2 Np 3.49

=====

Q.
Entry from Alexandria via LeMat-Bulk: PmNpCo2 after structural relaxation (PBE).

Properties
As for the density of states at the Fermi level: 3.02 states/eV/f.u. Its volume is 19.626 A^3/atom.

Cell: 4.1864 4.1864 5.7090 Å, 68.49 68.49 60.00°
Last column: nearest neighbours and their distance in Å.
Sites, in units of the cell vectors:
1 Co 0.2958 0.2958 0.1128  3 Np 2.49, 3 Co 2.68
2 Co 0.7042 0.7042 0.8872  3 Np 2.49, 3 Co 2.68
3 Pm 0.5000 0.5000 0.5000  8 Co 3.14-3.17
4 Np 0.0000 0.0000 0.0000  6 Co 2.49

=====

Which one sits at the top of the stability order? Q does.